[1]
{
  "formula": "Pm2DySi",
  "functional": "PBE-GGA",
  "state": "optimized geometry",
  "cell": [[4.0476, 0.0000, 0.0000], [0.0000, 4.0476, 0.0000], [0.0000, 0.0000, 6.6688]],
  "species": ["Si", "Pm", "Pm", "Dy"],
  "frac_coords": [[0.5000, 0.5000, 0.0000], [0.0000, 0.0000, 0.7815], [0.0000, 0.0000, 0.2185], [0.5000, 0.5000, 0.5000]],
  "raw_formation_energy_kj_per_mol_atoms": -21.78
}

[2]
{
  "formula": "PmDySi4",
  "functional": "PBE-GGA",
  "state": "optimized geometry",
  "cell": [[3.8448, 0.0000, -1.1872], [-0.3666, 3.8273, -1.1872], [0.3162, 0.3479, 7.8433]],
  "species": ["Pm", "Dy", "Si", "Si", "Si", "Si"],
  "frac_coords": [[0.2500, 0.7500, 0.5000], [0.0000, 0.0000, 0.0000], [0.6658, 0.1658, 0.3315], [0.5809, 0.5809, 0.1617], [0.8342, 0.3342, 0.6685], [0.4191, 0.4191, 0.8383]],
  "raw_formation_energy_kj_per_mol_atoms": -54.53
}

[3]
{
  "formula": "PmDy2Si6",
  "functional": "PBE-GGA",
  "state": "optimized geometry",
  "cell": [[-2.6508, 1.6497, 2.4892], [-3.6382, -6.1131, 0.1770], [5.1827, 1.1942, 4.7278]],
  "species": ["Pm", "Dy", "Dy", "Si", "Si", "Si", "Si", "Si", "Si"],
  "frac_coords": [[0.0000, 0.0000, 0.0000], [0.0000, 0.3333, 0.6667], [0.0000, 0.6667, 0.3333], [0.5000, 0.3354, 0.3354], [0.5000, 0.6646, 0.6646], [0.5000, 0.0000, 0.6646], [0.5000, 0.6646, 0.0000], [0.5000, 0.3354, 0.0000], [0.5000, 0.0000, 0.3354]],
  "raw_formation_energy_kj_per_mol_atoms": -52.38
}

[4]
{
  "formula": "PmDy3Si4",
  "functional": "PBE-GGA",
  "state": "optimized geometry",
  "cell": [[-1.0512, 3.1551, -2.0865], [-6.0888, -1.7180, 0.4699], [2.9053, 3.4537, 7.4525]],
  "species": ["Pm", "Dy", "Dy", "Dy", "Si", "Si", "Si", "Si"],
  "frac_coords": [[0.5000, 0.0000, 0.0000], [0.0000, 0.5000, 0.0000], [0.1952, 0.1952, 0.3905], [0.8048, 0.8048, 0.6095], [0.3671, 0.5505, 0.7342], [0.6329, 0.4495, 0.2658], [0.6328, 0.8161, 0.2656], [0.3672, 0.1839, 0.7344]],
  "raw_formation_energy_kj_per_mol_atoms": -50.59
}

What did the first record say?
{
  "formula": "Pm2DySi",
  "functional": "PBE-GGA",
  "state": "optimized geometry",
  "cell": [[4.0476, 0.0000, 0.0000], [0.0000, 4.0476, 0.0000], [0.0000, 0.0000, 6.6688]],
  "species": ["Si", "Pm", "Pm", "Dy"],
  "frac_coords": [[0.5000, 0.5000, 0.0000], [0.0000, 0.0000, 0.7815], [0.0000, 0.0000, 0.2185], [0.5000, 0.5000, 0.5000]],
  "raw_formation_energy_kj_per_mol_atoms": -21.78
}

Q: What is the formula in the first record?
A: Pm2DySi